Entry 1:
Ac2TmSn3Pt4 | GGA-PBE | optimized geometry

## Properties
DFT formation energy: -0.978 eV per atom
E: -58.64 eV/cell
Fermi-level density of states: 6.16 states/eV/cell

Lattice parameters (Å, degrees): 4.714 4.714 11.008 90.00 90.00 90.00
Element x y z (fractional)
Ac (0.000, 0.500, 0.230)
Ac (0.500, 0.000, 0.770)
Tm (0.000, 0.000, 0.500)
Sn (0.000, 0.500, 0.878)
Sn (0.500, 0.000, 0.122)
Sn (0.500, 0.500, 0.500)
Pt (0.000, 0.000, 0.000)
Pt (0.000, 0.500, 0.637)
Pt (0.500, 0.000, 0.363)
Pt (0.500, 0.500, 0.000)

---

Entry 2:
Ac2TmSn4Pt3 | GGA-PBE | optimized geometry

## Properties
DFT formation energy: -0.868 eV per atom
E: -55.50 eV/cell
Fermi-level density of states: 4.19 states/eV/cell

Lattice parameters (Å, degrees): 4.577 4.577 12.124 90.00 90.00 90.00
Element x y z (fractional)
Ac (0.000, 0.500, 0.236)
Ac (0.500, 0.000, 0.764)
Tm (0.000, 0.000, 0.500)
Sn (0.000, 0.000, 0.000)
Sn (0.000, 0.500, 0.654)
Sn (0.500, 0.000, 0.346)
Sn (0.500, 0.500, 0.000)
Pt (0.000, 0.500, 0.876)
Pt (0.500, 0.000, 0.124)
Pt (0.500, 0.500, 0.500)

---

Look up the DFT formation energy of the second one. -0.868 eV per atom